Entry from the Alexandria database: an optimized crystal structure of Zn2Cu3Ge (PBE).

Values from the calculation:
Space group: C2/c (15)
Fermi-level density of states: 0.2525 states/eV/atom
Calculated formation energy: 0.061 eV/atom

a = 5.4835 Å, b = 5.1834 Å, c = 6.7191 Å
α = 101.17°, β = 114.08°, γ = 90.00°
Last column: nearest neighbours and their distance in Å.
Atoms (fractional coordinates):
Zn 0.6574 0.5878 0.3412  6 Cu 2.53-2.79, 2 Zn 2.60, 1 Ge 2.78
Zn 0.6838 0.0878 0.3412  6 Cu 2.53-2.79, 2 Zn 2.60, 1 Ge 2.78
Zn 0.3162 0.9122 0.6588  6 Cu 2.53-2.79, 2 Zn 2.60, 1 Ge 2.78
Zn 0.3426 0.4122 0.6588  6 Cu 2.53-2.79, 2 Zn 2.60, 1 Ge 2.78
Cu 0.7260 0.2500 0.0000  4 Ge 2.60-2.81, 4 Cu 2.63-2.69, 4 Zn 2.68-2.76
Cu 0.2740 0.7500 0.0000  4 Ge 2.60-2.81, 4 Cu 2.63-2.69, 4 Zn 2.68-2.76
Cu 0.1543 0.0716 0.2955  4 Zn 2.53-2.79, 2 Ge 2.54-2.57, 4 Cu 2.59-2.69
Cu 0.8588 0.4284 0.7045  4 Zn 2.53-2.79, 2 Ge 2.54-2.57, 4 Cu 2.59-2.69
Cu 0.1412 0.5716 0.2955  4 Zn 2.53-2.79, 2 Ge 2.54-2.57, 4 Cu 2.59-2.69
Cu 0.8457 0.9284 0.7045  4 Zn 2.53-2.79, 2 Ge 2.54-2.57, 4 Cu 2.59-2.69
Ge 0.7620 0.7500 0.0000  8 Cu 2.54-2.81, 2 Zn 2.78
Ge 0.2380 0.2500 0.0000  8 Cu 2.54-2.81, 2 Zn 2.78